Li2Mn2OF6: optimized geometry, PBE+U.

Cell lengths 7.2308, 7.2308, 5.6517 Å; angles 99.08, 99.08, 86.40 degrees
Sites, in units of the cell vectors:
Li (0.0132, 0.3185, 0.4830)
Li (0.3185, 0.0132, 0.9830)
Li (0.6815, 0.9868, 0.0170)
Li (0.9868, 0.6815, 0.5170)
Mn (0.2759, 0.5141, 0.9916)
Mn (0.4859, 0.7241, 0.5084)
Mn (0.5141, 0.2759, 0.4916)
Mn (0.7241, 0.4859, 0.0084)
O (0.4870, 0.5130, 0.2500)
O (0.5130, 0.4870, 0.7500)
F (0.0511, 0.5172, 0.7587)
F (0.2254, 0.7333, 0.4778)
F (0.2431, 0.2594, 0.9776)
F (0.2594, 0.2431, 0.4776)
F (0.2667, 0.7746, 0.0222)
F (0.4828, 0.9489, 0.7413)
F (0.5172, 0.0511, 0.2587)
F (0.7333, 0.2254, 0.9778)
F (0.7406, 0.7569, 0.5224)
F (0.7569, 0.7406, 0.0224)
F (0.7746, 0.2667, 0.5222)
F (0.9489, 0.4828, 0.2413)

Energy above the lowest structure with this stoichiometry, meV/atom: 54.6
Symmetry: No. 15